# 1
The following is a PBE calculation of an optimized crystal structure of Ta2NiIr, from Alexandria.

Lattice parameters (Å, degrees): 9.165 9.165 9.165 154.98 154.98 35.68
Fractional positions:
Ta 0.120 0.625 0.995
Ta 0.375 0.370 0.495
Ta 0.630 0.125 0.005
Ta 0.875 0.880 0.505
Ni 0.000 0.000 0.000
Ni 0.750 0.250 0.500
Ir 0.250 0.750 0.500
Ir 0.500 0.500 0.000

Computed properties:
**N(E_F)**: 0.88 states/eV/atom
**Energy of formation**: 0.3483 eV per atom


# 2
The following is a PBE calculation of an optimized crystal structure of Ta2NiIr, from Alexandria.

Lattice parameters (Å, degrees): 2.867 3.849 5.573 90.00 90.18 90.00
Fractional positions:
Ta 0.000 0.000 0.247
Ta 0.000 0.000 0.753
Ni 0.500 0.500 0.000
Ir 0.500 0.500 0.500

Computed properties:
**N(E_F)**: 0.90 states/eV/atom
**Energy of formation**: -0.3742 eV per atom